The following is a DFT calculation (PBE with a Hubbard U) of a geometry-optimized CrCdSeF2 structure.

Structure (POSCAR):
```
CrCdSeF2
1.0
3.986 0.000 0.000
0.000 3.986 0.000
0.000 0.000 5.815
Cr Se F Cd
1 1 2 1
direct
0.000 0.000 0.000 Cr
0.000 0.000 0.500 Se
0.500 0.000 0.000 F
0.000 0.500 0.000 F
0.500 0.500 0.500 Cd
```

Values from the calculation:
**Magnetization**: 3.8 Bohr magnetons per cell
**D(E_F)**: 0.10 states/eV/atom
**V**: 18.5 A^3/atom
**VASP energy**: -23.893 eV per cell